Record 1
Density functional theory data (PBE-GGA) for KLa3Nd2Se6 after structural relaxation.

Cell: 18.8253 4.3089 8.6824 Å, 90.00 102.67 90.00°
Closest atoms and distances in Å follow each position.
Space group C2/m (No. 12)
One atom of each set of equivalent atoms:
K (0.0000, 0.0000, 0.0000) (multiplicity 2)  6 Se 3.13-3.15
La (0.0000, 0.0000, 0.5000) (multiplicity 2)  6 Se 2.99-3.04
La (0.1637, 0.5000, 0.8281) (multiplicity 4)  6 Se 3.03-3.11
Nd (0.1708, 0.5000, 0.3446) (multiplicity 4)  6 Se 3.00-3.09
Se (0.0037, 0.5000, 0.2625) (multiplicity 4)  3 La 2.99-3.08, 1 Nd 3.07, 2 K 3.13
Se (0.1656, 0.0000, 0.5831) (multiplicity 4)  3 Nd 3.00-3.01, 3 La 3.03-3.04
Se (0.1714, 0.0000, 0.0890) (multiplicity 4)  3 La 3.03-3.11, 2 Nd 3.09, 1 K 3.15

Results
energy relative to the elements, uncorrected = -1.87 eV per atom
uncorrected energy = -0.2104 Ha/atom

Record 2
Density functional theory data (PBE-GGA) for K4La3NdSe8 after structural relaxation.

Cell: 8.8431 8.8431 23.0545 Å, 90.00 90.00 120.00°
Closest atoms and distances in Å follow each position.
Space group R-3m (No. 166, hexagonal axes)
One atom of each set of equivalent atoms:
K (0.0000, 0.0000, 0.0000) (multiplicity 3)  6 Se 3.40
K (0.0000, 0.5000, 0.0000) (multiplicity 9)  6 Se 3.37-3.38
La (0.0000, 0.5000, 0.5000) (multiplicity 9)  6 Se 3.03-3.04
Nd (0.0000, 0.0000, 0.5000) (multiplicity 3)  6 Se 3.00
Se (0.0000, 0.0000, 0.2374) (multiplicity 6)  3 La 3.03, 3 K 3.38
Se (0.0034, 0.5017, 0.2371) (multiplicity 18)  1 Nd 3.00, 2 La 3.04

Results
energy relative to the elements, uncorrected = -1.81 eV per atom
uncorrected energy = -0.1856 Ha/atom

Record 3
Density functional theory data (PBE-GGA) for KLa2NdSe4 after structural relaxation.

Cell: 7.5039 4.3228 7.6114 Å, 90.00 109.07 90.00°
Closest atoms and distances in Å follow each position.
Space group P2/m (No. 10)
One atom of each set of equivalent atoms:
K (0.0000, 0.0000, 0.0000) (multiplicity 1)  6 Se 3.12-3.15
La (0.5000, 0.0000, 0.5000) (multiplicity 1)  6 Se 3.01-3.03
La (0.5000, 0.5000, 0.0000) (multiplicity 1)  6 Se 3.10
Nd (0.0000, 0.5000, 0.5000) (multiplicity 1)  6 Se 3.06
Se (0.2507, 0.0000, 0.7436) (multiplicity 2)  3 La 3.03-3.10, 2 Nd 3.06, 1 K 3.12
Se (0.2604, 0.5000, 0.2634) (multiplicity 2)  3 La 3.01-3.10, 1 Nd 3.06, 2 K 3.15

Results
energy relative to the elements, uncorrected = -1.83 eV per atom
uncorrected energy = -0.2036 Ha/atom

Record 4
Density functional theory data (PBE-GGA) for KLa2Nd3Se6 after structural relaxation.

Cell: 18.8234 4.2696 8.7026 Å, 90.00 103.79 90.00°
Closest atoms and distances in Å follow each position.
Space group C2/m (No. 12)
One atom of each set of equivalent atoms:
K (0.0000, 0.0000, 0.0000) (multiplicity 2)  6 Se 3.13-3.14
La (0.1676, 0.5000, 0.3378) (multiplicity 4)  6 Se 3.04-3.11
Nd (0.0000, 0.0000, 0.5000) (multiplicity 2)  6 Se 2.97-3.01
Nd (0.1634, 0.5000, 0.8237) (multiplicity 4)  6 Se 2.98-3.07
Se (0.0006, 0.5000, 0.2630) (multiplicity 4)  3 Nd 2.97-3.00, 1 La 3.05, 2 K 3.13
Se (0.1646, 0.0000, 0.5850) (multiplicity 4)  3 Nd 2.98-3.01, 3 La 3.04-3.07
Se (0.1719, 0.0000, 0.0804) (multiplicity 4)  3 Nd 3.01-3.07, 2 La 3.11, 1 K 3.14

Results
energy relative to the elements, uncorrected = -1.85 eV per atom
uncorrected energy = -0.2093 Ha/atom

Record 5
Density functional theory data (PBE-GGA) for K4LaNd3Se8 after structural relaxation.

Cell: 8.7462 8.7462 23.1088 Å, 90.00 90.00 120.00°
Closest atoms and distances in Å follow each position.
Space group R-3m (No. 166, hexagonal axes)
One atom of each set of equivalent atoms:
K (0.0000, 0.0000, 0.0000) (multiplicity 3)  6 Se 3.35
K (0.0000, 0.5000, 0.0000) (multiplicity 9)  6 Se 3.37
La (0.0000, 0.0000, 0.5000) (multiplicity 3)  6 Se 3.02
Nd (0.0000, 0.5000, 0.5000) (multiplicity 9)  6 Se 2.99-3.00
Se (0.0000, 0.0000, 0.2369) (multiplicity 6)  3 Nd 3.00
Se (0.0032, 0.5016, 0.7629) (multiplicity 18)  2 Nd 2.99, 1 La 3.02, 1 K 3.35

Results
energy relative to the elements, uncorrected = -1.77 eV per atom
uncorrected energy = -0.1834 Ha/atom

Record 6
Density functional theory data (PBE-GGA) for KLaNd2Te4 after structural relaxation.

Cell: 7.9635 4.5435 8.0639 Å, 90.00 108.66 90.00°
Closest atoms and distances in Å follow each position.
Space group P2/m (No. 10)
One atom of each set of equivalent atoms:
K (0.0000, 0.0000, 0.0000) (multiplicity 1)  6 Te 3.32-3.35
La (0.5000, 0.5000, 0.0000) (multiplicity 1)  6 Te 3.28
Nd (0.0000, 0.5000, 0.5000) (multiplicity 1)  6 Te 3.24
Nd (0.5000, 0.0000, 0.5000) (multiplicity 1)  6 Te 3.17-3.20
Te (0.2515, 0.0000, 0.7423) (multiplicity 2)  3 Nd 3.20-3.24, 2 La 3.28, 1 K 3.32
Te (0.2611, 0.5000, 0.2643) (multiplicity 2)  3 Nd 3.17-3.24, 1 La 3.28, 2 K 3.35

Results
energy relative to the elements, uncorrected = -1.44 eV per atom
uncorrected energy = -0.1822 Ha/atom

Record 7
Density functional theory data (PBE-GGA) for K4LaNd3Te8 after structural relaxation.

Cell: 9.2856 9.2856 24.7453 Å, 90.00 90.00 120.00°
Closest atoms and distances in Å follow each position.
Space group R-3m (No. 166, hexagonal axes)
One atom of each set of equivalent atoms:
K (0.0000, 0.0000, 0.0000) (multiplicity 3)  6 Te 3.54
K (0.0000, 0.5000, 0.0000) (multiplicity 9)  6 Te 3.57
La (0.0000, 0.0000, 0.5000) (multiplicity 3)  6 Te 3.24
Nd (0.0000, 0.5000, 0.5000) (multiplicity 9)  6 Te 3.21
Te (0.0000, 0.0000, 0.2381) (multiplicity 6)  3 Nd 3.21, 3 K 3.57
Te (0.0033, 0.5016, 0.7615) (multiplicity 18)  2 Nd 3.21, 1 La 3.24, 3 K 3.54-3.57

Results
energy relative to the elements, uncorrected = -1.44 eV per atom
uncorrected energy = -0.1648 Ha/atom

Record 8
Density functional theory data (PBE-GGA) for K3LaNd2Te6 after structural relaxation.

Cell: 8.0549 13.9524 8.6771 Å, 90.00 108.03 90.00°
Closest atoms and distances in Å follow each position.
Space group C2/m (No. 12)
One atom of each set of equivalent atoms:
K (0.0000, 0.0000, 0.0000) (multiplicity 2)  6 Te 3.55-3.58
K (0.0000, 0.3337, 0.0000) (multiplicity 4)  6 Te 3.55-3.58
La (0.0000, 0.5000, 0.5000) (multiplicity 2)  6 Te 3.24
Nd (0.0000, 0.1667, 0.5000) (multiplicity 4)  6 Te 3.21
Te (0.2349, 0.0000, 0.7153) (multiplicity 4)  2 Nd 3.21, 1 La 3.24, 3 K 3.55-3.58
Te (0.2402, 0.3316, 0.7152) (multiplicity 8)  2 Nd 3.21, 1 La 3.24, 3 K 3.55-3.58

Results
energy relative to the elements, uncorrected = -1.44 eV per atom
uncorrected energy = -0.1652 Ha/atom

Record 9
Density functional theory data (PBE-GGA) for K4La3NdTe8 after structural relaxation.

Cell: 9.3812 9.3812 24.7087 Å, 90.00 90.00 120.00°
Closest atoms and distances in Å follow each position.
Space group R-3m (No. 166, hexagonal axes)
One atom of each set of equivalent atoms:
K (0.0000, 0.0000, 0.0000) (multiplicity 3)  6 Te 3.60
K (0.0000, 0.5000, 0.0000) (multiplicity 9)  6 Te 3.57-3.58
La (0.0000, 0.5000, 0.5000) (multiplicity 9)  6 Te 3.24-3.25
Nd (0.0000, 0.0000, 0.5000) (multiplicity 3)  6 Te 3.21
Te (0.0000, 0.0000, 0.2388) (multiplicity 6)  3 La 3.24, 3 K 3.58
Te (0.0034, 0.5017, 0.2384) (multiplicity 18)  1 Nd 3.21, 2 La 3.25, 2 K 3.57

Results
energy relative to the elements, uncorrected = -1.48 eV per atom
uncorrected energy = -0.1671 Ha/atom

Record 10
Density functional theory data (PBE-GGA) for KLa2NdTe4 after structural relaxation.

Cell: 7.9816 4.5900 8.0942 Å, 90.00 108.97 90.00°
Closest atoms and distances in Å follow each position.
Space group P2/m (No. 10)
One atom of each set of equivalent atoms:
K (0.0000, 0.0000, 0.0000) (multiplicity 1)  6 Te 3.31-3.34
La (0.5000, 0.0000, 0.5000) (multiplicity 1)  6 Te 3.21-3.23
La (0.5000, 0.5000, 0.0000) (multiplicity 1)  6 Te 3.29-3.30
Nd (0.0000, 0.5000, 0.5000) (multiplicity 1)  6 Te 3.25
Te (0.2500, 0.0000, 0.7440) (multiplicity 2)  3 La 3.23-3.29, 2 Nd 3.25, 1 K 3.31
Te (0.2580, 0.5000, 0.2613) (multiplicity 2)  3 La 3.21-3.30, 1 Nd 3.25, 2 K 3.34

Results
energy relative to the elements, uncorrected = -1.47 eV per atom
uncorrected energy = -0.1840 Ha/atom

Record 11
Density functional theory data (PBE-GGA) for K3La2NdTe6 after structural relaxation.

Cell: 8.1107 14.0494 8.6689 Å, 90.00 108.17 90.00°
Closest atoms and distances in Å follow each position.
Space group C2/m (No. 12)
One atom of each set of equivalent atoms:
K (0.0000, 0.0000, 0.0000) (multiplicity 2)  6 Te 3.57-3.60
K (0.0000, 0.3327, 0.0000) (multiplicity 4)  6 Te 3.57-3.59
La (0.0000, 0.1666, 0.5000) (multiplicity 4)  6 Te 3.25
Nd (0.0000, 0.5000, 0.5000) (multiplicity 2)  6 Te 3.21
Te (0.2367, 0.3351, 0.7156) (multiplicity 8)  1 Nd 3.21, 2 La 3.25, 3 K 3.57-3.59
Te (0.2422, 0.0000, 0.7157) (multiplicity 4)  1 Nd 3.21, 2 La 3.25, 2 K 3.57

Results
energy relative to the elements, uncorrected = -1.47 eV per atom
uncorrected energy = -0.1667 Ha/atom

Record 12
Density functional theory data (PBE-GGA) for K2LaNi after structural relaxation.

Cell: 4.9343 4.9460 11.9945 Å, 90.00 90.00 90.00°
Closest atoms and distances in Å follow each position.
Space group Cmmm (No. 65)
One atom of each set of equivalent atoms:
K (0.0000, 0.0000, 0.1800) (multiplicity 4)  4 Ni 3.28, 4 K 3.49
La (0.0000, 0.5000, 0.5000) (multiplicity 2)  4 La 3.49
Ni (0.0000, 0.5000, 0.0000) (multiplicity 2)  8 K 3.28, 4 Ni 3.49

Results
formation energy from the elements = 0.743 eV per atom
uncorrected energy = -0.0912 Ha/atom
polymorph energy (0 for the lowest one) = 649.1 meV/atom

Record 13
Density functional theory data (PBE-GGA) for KLa4Ni after structural relaxation.

Cell: 9.4440 9.4440 9.4440 Å, 90.00 90.00 90.00°
Closest atoms and distances in Å follow each position.
Space group F-43m (No. 216)
One atom of each set of equivalent atoms:
K (0.0000, 0.0000, 0.0000) (multiplicity 4)  12 La 3.93, 4 Ni 4.09
La (0.1195, 0.1195, 0.6195) (multiplicity 16)  6 La 3.19-3.49
Ni (0.2500, 0.2500, 0.2500) (multiplicity 4)  12 La 3.90, 4 K 4.09

Results
formation energy from the elements = 0.739 eV per atom
uncorrected energy = -0.1357 Ha/atom

Record 14
Density functional theory data (PBE-GGA) for K2LaNi after structural relaxation.

Cell: 8.1048 8.1048 8.1048 Å, 90.00 90.00 90.00°
Closest atoms and distances in Å follow each position.
Space group Fm-3m (No. 225)
One atom of each set of equivalent atoms:
K (0.2500, 0.2500, 0.2500) (multiplicity 8)  4 La 3.51, 4 Ni 3.51
La (0.0000, 0.0000, 0.0000) (multiplicity 4)  8 K 3.51
Ni (0.0000, 0.0000, 0.5000) (multiplicity 4)  8 K 3.51

Results
formation energy from the elements = 0.988 eV per atom
uncorrected energy = -0.0822 Ha/atom
polymorph energy (0 for the lowest one) = 893.6 meV/atom

Record 15
Density functional theory data (PBE-GGA) for KLaNi3 after structural relaxation.

Cell: 5.0809 5.0809 5.0809 Å, 90.00 90.00 90.00°
Closest atoms and distances in Å follow each position.
Space group Pm-3m (No. 221)
One atom of each set of equivalent atoms:
K (0.0000, 0.0000, 0.0000) (multiplicity 1)  12 Ni 3.59
La (0.5000, 0.5000, 0.5000) (multiplicity 1)  6 Ni 2.54
Ni (0.0000, 0.5000, 0.5000) (multiplicity 3)  2 La 2.54

Results
formation energy from the elements = 0.982 eV per atom
uncorrected energy = -0.1357 Ha/atom
polymorph energy (0 for the lowest one) = 0.0 meV/atom

Record 16
Density functional theory data (PBE-GGA) for K2LaNi after structural relaxation.

Cell: 7.2295 4.1848 11.7656 Å, 90.00 101.95 90.00°
Closest atoms and distances in Å follow each position.
Space group Cm (No. 8)
One atom of each set of equivalent atoms:
K (0.0000, 0.0000, 0.0000) (multiplicity 2)  6 K 4.18, 3 La 4.47-4.51
K (0.2073, 0.0000, 0.6388) (multiplicity 2)  3 Ni 3.33
La (0.2702, 0.5000, 0.3284) (multiplicity 2)  3 Ni 2.73
Ni (0.4737, 0.0000, 0.4398) (multiplicity 2)  3 La 2.73

Results
formation energy from the elements = 0.144 eV per atom
uncorrected energy = -0.1133 Ha/atom
polymorph energy (0 for the lowest one) = 49.9 meV/atom

Record 17
Density functional theory data (PBE-GGA) for K2LaNi after structural relaxation.

Cell: 3.7677 4.1092 21.7241 Å, 90.00 90.00 90.00°
Closest atoms and distances in Å follow each position.
Space group Immm (No. 71)
One atom of each set of equivalent atoms:
K (0.0000, 0.0000, 0.1571) (multiplicity 4)  4 K 3.77-4.11, 2 Ni 3.90, 2 La 3.98
La (0.0000, 0.5000, 0.0000) (multiplicity 2)  4 Ni 2.79
Ni (0.0000, 0.5000, 0.5000) (multiplicity 2)  4 La 2.79

Results
formation energy from the elements = 0.118 eV per atom
uncorrected energy = -0.1142 Ha/atom
polymorph energy (0 for the lowest one) = 23.3 meV/atom

Record 18
Density functional theory data (PBE-GGA) for KLa2Ni2 after structural relaxation.

Cell: 8.5855 8.5855 3.4764 Å, 90.00 90.00 90.00°
Closest atoms and distances in Å follow each position.
Space group P4/mbm (No. 127)
One atom of each set of equivalent atoms:
K (0.0000, 0.0000, 0.0000) (multiplicity 2)  4 La 3.30, 2 K 3.48
La (0.1440, 0.3560, 0.0000) (multiplicity 4)  6 Ni 2.92-3.26
Ni (0.1286, 0.6286, 0.5000) (multiplicity 4)  6 La 2.92-3.26, 1 Ni 3.12

Results
formation energy from the elements = 0.089 eV per atom
uncorrected energy = -0.1622 Ha/atom

Record 19
Density functional theory data (PBE-GGA) for KLaNi after structural relaxation.

Cell: 4.0523 4.0523 7.6865 Å, 90.00 90.00 120.00°
Closest atoms and distances in Å follow each position.
Space group P3m1 (No. 156)
One atom of each set of equivalent atoms:
K (0.0000, 0.0000, 0.0000) (multiplicity 1)  3 Ni 3.33
La (0.6667, 0.3333, 0.5132) (multiplicity 1)  3 Ni 2.71
Ni (0.3333, 0.6667, 0.6919) (multiplicity 1)  3 La 2.71

Results
formation energy from the elements = 0.175 eV per atom
uncorrected energy = -0.1382 Ha/atom
polymorph energy (0 for the lowest one) = 33.4 meV/atom

Record 20
Density functional theory data (PBE-GGA) for K2LaNi after structural relaxation.

Cell: 3.9091 3.9091 11.0070 Å, 90.00 90.00 90.00°
Closest atoms and distances in Å follow each position.
Space group P4mm (No. 99)
One atom of each set of equivalent atoms:
K (0.0000, 0.0000, 0.0000) (multiplicity 1)  1 La 3.63, 4 K 3.91
K (0.5000, 0.5000, 0.3653) (multiplicity 1)  1 Ni 3.67, 4 K 3.91
La (0.0000, 0.0000, 0.6705) (multiplicity 1)  4 Ni 2.78
Ni (0.5000, 0.5000, 0.6988) (multiplicity 1)  4 La 2.78

Results
formation energy from the elements = 0.127 eV per atom
uncorrected energy = -0.1139 Ha/atom
polymorph energy (0 for the lowest one) = 32.9 meV/atom